The following is a DFT calculation (GGA-PBE) of crystalline Ba7Sr3Ca at its relaxed geometry.

Computed properties:
Symmetry: Cmcm
D(E_F) in states/eV/f.u.: 16.97
Polymorph energy (0 for the lowest one) in meV/atom: 0
Density in g/cm3: 3.1

POSCAR file:
```
Ba7Sr3Ca
1.0
-3.6395 -0.0263 -2.2080
-3.9579 -9.6054 10.7419
-7.2542 16.1460 11.7649
Sr Ba Ca
6 14 2
Direct
0.7585 0.5169 0.2500
0.2415 0.4831 0.7500
0.9229 0.8458 0.9747
0.9229 0.8458 0.5253
0.0771 0.1542 0.0253
0.0771 0.1542 0.4747
0.6104 0.2209 0.2500
0.7039 0.4078 0.0760
0.4836 0.9671 0.3578
0.5164 0.0329 0.6422
0.5164 0.0329 0.8578
0.2961 0.5922 0.9240
0.7039 0.4078 0.4240
0.6632 0.3263 0.8909
0.3368 0.6737 0.1091
0.3368 0.6737 0.3909
0.4836 0.9671 0.1422
0.6632 0.3263 0.6091
0.3896 0.7791 0.7500
0.2961 0.5922 0.5760
0.1053 0.2105 0.7500
0.8947 0.7895 0.2500
```


The following is a DFT calculation (GGA-PBE) of crystalline Ba3Sr2Ca at its relaxed geometry.

Computed properties:
Symmetry: Cmmm
D(E_F) in states/eV/f.u.: 8.41
Polymorph energy (0 for the lowest one) in meV/atom: 0
Density in g/cm3: 3.1

POSCAR file:
```
Ba3Sr2Ca
1.0
4.8229 0.0000 0.0000
0.0000 6.4930 -2.1427
0.0000 -0.0410 10.7849
Sr Ba Ca
2 3 1
Direct
0.5000 0.8402 0.6805
0.5000 0.1598 0.3195
0.0000 0.6691 0.3382
0.0000 0.3309 0.6618
0.5000 0.5000 0.0000
0.0000 0.0000 0.0000
```


The following is a DFT calculation (GGA-PBE) of crystalline BaSr6Ca12 at its relaxed geometry.

Computed properties:
Symmetry: R-3
D(E_F) in states/eV/f.u.: 23.35
Polymorph energy (0 for the lowest one) in meV/atom: 0
Density in g/cm3: 2.0

POSCAR file:
```
BaSr6Ca12
1.0
9.6975 0.6493 0.7779
-0.8284 9.6839 0.7779
-0.8284 -0.9651 9.6670
Ca Sr Ba
12 6 1
Direct
0.5541 0.2064 0.4730
0.4459 0.7936 0.5270
0.9540 0.8438 0.6252
0.5270 0.4459 0.7936
0.1562 0.3748 0.0460
0.0460 0.1562 0.3748
0.2064 0.4730 0.5541
0.8438 0.6252 0.9540
0.4730 0.5541 0.2064
0.6252 0.9540 0.8438
0.7936 0.5270 0.4459
0.3748 0.0460 0.1562
0.2695 0.7254 0.8842
0.2746 0.1158 0.7305
0.7254 0.8842 0.2695
0.8842 0.2695 0.7254
0.7305 0.2746 0.1158
0.1158 0.7305 0.2746
0.0000 0.0000 0.0000
```


The following is a DFT calculation (GGA-PBE) of crystalline Ba8Sr2Ca3 at its relaxed geometry.

Computed properties:
Symmetry: C2/m
D(E_F) in states/eV/f.u.: 26.22
Polymorph energy (0 for the lowest one) in meV/atom: 0
Density in g/cm3: 2.9

POSCAR file:
```
Ba8Sr2Ca3
1.0
6.0273 -0.5192 -3.5106
-1.5593 9.0752 -4.0192
0.1974 0.7402 14.1525
Sr Ba Ca
2 8 3
Direct
0.0448 0.7726 0.5453
0.9552 0.2274 0.4547
0.2278 0.1138 0.2275
0.7722 0.8862 0.7725
0.6527 0.3263 0.6527
0.6960 0.7929 0.1960
0.6960 0.4031 0.1960
0.3040 0.2071 0.8040
0.3473 0.6737 0.3473
0.3040 0.5969 0.8040
0.0000 0.6832 0.0000
0.5000 0.0000 0.0000
0.0000 0.3168 0.0000
```